TbSnTeAuSe2 | PBE-GGA | optimized geometry Values from VASP.

Cell and atoms, written as Quantum ESPRESSO input:
```
&SYSTEM
  ibrav = 0, nat = 12, ntyp = 5
/
ATOMIC_SPECIES
Au 196.97 Au.upf
Se 78.96 Se.upf
Sn 118.71 Sn.upf
Tb 158.93 Tb.upf
Te 127.60 Te.upf
CELL_PARAMETERS angstrom
-3.2350 2.9063 -5.9469
-0.7954 -3.4967 6.4356
-0.7992 9.7681 5.2085
ATOMIC_POSITIONS angstrom
Au -2.1415 1.9539 1.9197
Au -2.6881 7.2239 3.7776
Se -1.7185 -0.6398 2.2744
Se -2.0277 3.1388 4.2892
Se -2.8019 6.0389 1.4081
Se -3.1110 9.8175 3.4229
Sn -2.9360 4.0392 -2.1131
Sn -1.8936 5.1385 7.8104
Tb 0.0000 0.0000 0.0000
Tb -0.3996 4.8840 2.6043
Te -1.2529 -0.3783 6.4299
Te -3.5767 9.5561 -0.7325
```

Values from the calculation:
Space group   Cmcm
Energy   -4.478 eV/atom



TlSnTe2AuSe | PBE-GGA | optimized geometry Values from VASP.

Cell and atoms, written as Quantum ESPRESSO input:
```
&SYSTEM
  ibrav = 0, nat = 12, ntyp = 5
/
ATOMIC_SPECIES
Au 196.97 Au.upf
Se 78.96 Se.upf
Sn 118.71 Sn.upf
Te 127.60 Te.upf
Tl 204.38 Tl.upf
CELL_PARAMETERS angstrom
-6.3999 3.1296 -1.9654
3.4135 -5.4565 3.6317
0.2508 6.4663 9.4797
ATOMIC_POSITIONS angstrom
Au -5.1912 3.7435 1.0581
Au 2.4556 0.3958 10.0878
Se -1.6234 0.6219 3.0930
Se -1.1121 3.5174 8.0529
Sn -1.4932 -1.1635 0.8331
Sn -1.3678 2.0697 5.5730
Te -4.8918 1.9461 -0.9155
Te -4.7766 4.9163 3.4388
Te 2.0411 -0.7769 7.7071
Te 2.1563 2.1932 12.0614
Tl 1.3602 -1.9886 4.7947
Tl -4.0957 6.1279 6.3512
```

Values from the calculation:
Space group   Cmcm
Energy   -3.399 eV/atom



YSnTeAuSe2 | PBE-GGA | optimized geometry Values from VASP.

Cell and atoms, written as Quantum ESPRESSO input:
```
&SYSTEM
  ibrav = 0, nat = 12, ntyp = 5
/
ATOMIC_SPECIES
Au 196.97 Au.upf
Se 78.96 Se.upf
Sn 118.71 Sn.upf
Te 127.60 Te.upf
Y 88.91 Y.upf
CELL_PARAMETERS angstrom
3.5704 1.7519 -6.2040
-4.4017 2.1993 5.4859
8.8706 2.9453 5.9367
ATOMIC_POSITIONS angstrom
Au -1.9424 2.9220 6.6157
Au 9.9817 3.9744 -1.3972
Se -2.7987 2.3001 4.1848
Se 0.6538 3.4464 6.4954
Se 7.3855 3.4501 -1.2768
Se 10.8380 4.5964 1.0337
Sn 3.4153 2.6214 -1.2406
Sn 4.6240 4.2751 6.4591
Te 0.9638 2.7590 2.3542
Te 7.0755 4.1375 2.8644
Y -0.4157 1.9756 -0.3591
Y 4.0196 3.4482 2.6093
```

Values from the calculation:
Space group   Cmcm
Energy   -4.783 eV/atom



TlSnAuSe3 | PBE-GGA | optimized geometry Values from VASP.

Cell and atoms, written as Quantum ESPRESSO input:
```
&SYSTEM
  ibrav = 0, nat = 12, ntyp = 4
/
ATOMIC_SPECIES
Au 196.97 Au.upf
Se 78.96 Se.upf
Sn 118.71 Sn.upf
Tl 204.38 Tl.upf
CELL_PARAMETERS angstrom
-4.7849 2.1004 7.0391
-7.5766 1.0173 4.2913
2.1681 -8.9445 1.3229
ATOMIC_POSITIONS angstrom
Au -5.5175 -1.0064 6.0024
Au -4.6760 -4.8205 6.6509
Se -6.1808 1.5588 5.6652
Se -3.7675 -0.7777 4.1343
Se -7.3240 -1.1447 7.8923
Se 1.0841 -4.4723 0.6615
Se -2.8694 -4.6822 4.7609
Se -6.4260 -5.0491 8.5190
Sn -9.3391 -1.1077 9.9250
Sn -0.8543 -4.7192 2.7282
Tl -1.6028 -0.1779 1.6986
Tl -8.5906 -5.6490 10.9547
```

Values from the calculation:
Space group   C2/m
Energy above the lowest structure with this stoichiometry   4.3 kJ per mole of atoms



TlSnAuSe3 | PBE-GGA | optimized geometry Values from VASP.

Cell and atoms, written as Quantum ESPRESSO input:
```
&SYSTEM
  ibrav = 0, nat = 24, ntyp = 4
/
ATOMIC_SPECIES
Au 196.97 Au.upf
Se 78.96 Se.upf
Sn 118.71 Sn.upf
Tl 204.38 Tl.upf
CELL_PARAMETERS angstrom
-9.5560 -5.5305 -10.0666
-2.6438 -0.8537 2.9788
-4.6197 10.1503 -1.1911
ATOMIC_POSITIONS angstrom
Au -5.0558 -2.1408 -3.7084
Au -11.6998 -0.8062 -9.2229
Au -5.1198 4.5723 0.9439
Au -11.7637 5.9069 -4.5706
Se -1.8728 -0.2156 -0.3315
Se -8.5588 -2.3240 -4.0851
Se -10.2317 -2.6647 -8.4525
Se -5.5389 0.2877 -3.4412
Se -4.5618 2.1571 0.7469
Se -8.4569 0.9875 -5.8305
Se -8.3626 2.7786 -2.4485
Se -12.2577 1.6090 -9.0259
Se -11.2806 3.4784 -4.8378
Se -6.5878 6.4308 0.1735
Se -8.2607 6.0901 -4.1939
Se -14.9467 3.9817 -7.9475
Sn -12.1648 -4.5600 -7.9265
Sn -8.2751 0.1570 -3.1222
Sn -8.5444 3.6091 -5.1568
Sn -4.6547 8.3261 -0.3525
Tl -7.7113 -3.9597 -6.5866
Tl -5.0024 3.3519 -2.0868
Tl -11.8171 0.4142 -6.1922
Tl -9.1082 7.7258 -1.6924
```

Values from the calculation:
Space group   Pnma
Energy above the lowest structure with this stoichiometry   1.2 kJ per mole of atoms



TlSnAuSe3 | PBE-GGA | optimized geometry Values from VASP.

Cell and atoms, written as Quantum ESPRESSO input:
```
&SYSTEM
  ibrav = 0, nat = 12, ntyp = 4
/
ATOMIC_SPECIES
Au 196.97 Au.upf
Se 78.96 Se.upf
Sn 118.71 Sn.upf
Tl 204.38 Tl.upf
CELL_PARAMETERS angstrom
-3.9313 -6.0898 1.5380
-1.8469 -6.9561 -1.7631
8.3142 -3.7902 6.2445
ATOMIC_POSITIONS angstrom
Au -0.0406 -5.7320 1.4786
Au 2.5765 -11.1042 4.5409
Se -1.8841 -4.8457 0.0819
Se 1.8522 -1.4586 1.5523
Se 1.8368 -6.5420 2.8766
Se 0.6991 -10.2942 3.1429
Se 0.6837 -15.3776 4.4672
Se 4.4201 -11.9905 5.9376
Sn 0.0000 0.0000 0.0000
Sn 4.1571 -1.8951 3.1223
Tl -1.9887 -10.1304 1.4027
Tl 4.5246 -6.7057 4.6168
```

Values from the calculation:
Space group   Cmcm
Energy above the lowest structure with this stoichiometry   2.1 kJ per mole of atoms



TlSnAuSe3 | PBE-GGA | optimized geometry Values from VASP.

Cell and atoms, written as Quantum ESPRESSO input:
```
&SYSTEM
  ibrav = 0, nat = 24, ntyp = 4
/
ATOMIC_SPECIES
Au 196.97 Au.upf
Se 78.96 Se.upf
Sn 118.71 Sn.upf
Tl 204.38 Tl.upf
CELL_PARAMETERS angstrom
11.2051 0.0000 0.0000
0.0000 4.0656 0.0000
0.0000 0.0000 13.4777
ATOMIC_POSITIONS angstrom
Au 8.3912 3.0492 1.6359
Au 2.7886 3.0492 5.1030
Au 8.4166 1.0164 8.3747
Au 2.8140 1.0164 11.8418
Se 5.8884 3.0492 1.4303
Se 10.8947 3.0492 1.4335
Se 2.7870 1.0164 2.9478
Se 8.3896 1.0164 3.7911
Se 5.2921 3.0492 5.3054
Se 0.2858 3.0492 5.3086
Se 10.9193 1.0164 8.1691
Se 5.9130 1.0164 8.1724
Se 2.8156 3.0492 9.6867
Se 8.4181 3.0492 10.5299
Se 0.3104 1.0164 12.0442
Se 5.3168 1.0164 12.0475
Sn 5.5866 1.0164 3.3673
Sn 11.1892 1.0164 3.3715
Sn 0.0160 3.0492 10.1062
Sn 5.6186 3.0492 10.1104
Tl 2.7934 3.0492 0.6181
Tl 8.3960 3.0492 6.1208
Tl 2.8091 1.0164 7.3569
Tl 8.4117 1.0164 12.8597
```

Values from the calculation:
Space group   Pnma
Energy above the lowest structure with this stoichiometry   2.6 kJ per mole of atoms



TlSnAuSe3 | PBE-GGA | optimized geometry Values from VASP.

Cell and atoms, written as Quantum ESPRESSO input:
```
&SYSTEM
  ibrav = 0, nat = 24, ntyp = 4
/
ATOMIC_SPECIES
Au 196.97 Au.upf
Se 78.96 Se.upf
Sn 118.71 Sn.upf
Tl 204.38 Tl.upf
CELL_PARAMETERS angstrom
-5.5278 8.0785 -0.2029
-3.3772 -2.2914 0.7774
2.2559 1.9328 15.4962
ATOMIC_POSITIONS angstrom
Au -4.7130 5.9309 2.5572
Au -1.5544 2.2298 5.3702
Au -5.0948 5.4901 10.7006
Au -1.9361 1.7891 13.5136
Se -4.5645 4.9421 0.2884
Se -7.7203 6.4177 2.0291
Se -2.2671 2.4784 3.0068
Se -4.7416 6.7656 4.8934
Se -4.3074 2.9344 6.5883
Se -0.7401 1.8114 7.6743
Se -5.9090 5.9085 8.3965
Se -2.3417 4.7855 9.4825
Se -1.9076 0.9543 11.1774
Se -4.3821 5.2415 13.0640
Se 1.0712 1.3022 14.0417
Se -2.0847 2.7778 15.7824
Sn -1.6072 0.8081 0.9501
Sn -3.4726 5.6171 7.0209
Sn -3.1765 2.1028 9.0499
Sn -5.0419 6.9118 15.1207
Tl -5.1377 3.1393 3.5854
Tl -2.1527 -0.7105 5.2058
Tl -4.4965 8.4304 10.8650
Tl -1.5114 4.5806 12.4854
```

Values from the calculation:
Space group   Pnma
Energy above the lowest structure with this stoichiometry   0.0 kJ per mole of atoms



TlSnAuSe3 | PBE-GGA | optimized geometry Values from VASP.

Cell and atoms, written as Quantum ESPRESSO input:
```
&SYSTEM
  ibrav = 0, nat = 12, ntyp = 4
/
ATOMIC_SPECIES
Au 196.97 Au.upf
Se 78.96 Se.upf
Sn 118.71 Sn.upf
Tl 204.38 Tl.upf
CELL_PARAMETERS angstrom
8.5347 0.0000 0.0000
0.0000 4.0272 0.0000
-3.0388 0.0000 9.7838
ATOMIC_POSITIONS angstrom
Au -0.9945 3.0204 3.9355
Au 6.4904 1.0068 5.8483
Se 3.2833 3.0204 1.2723
Se 7.1285 3.0204 1.4794
Se 4.7292 1.0068 4.0761
Se 0.7667 3.0204 5.7077
Se -1.6326 1.0068 8.3044
Se 2.2126 1.0068 8.5115
Sn 5.2638 1.0068 1.4366
Sn 0.2321 3.0204 8.3471
Tl 1.4761 1.0068 3.3623
Tl 4.0198 3.0204 6.4215
```

Values from the calculation:
Space group   P2_1/m
Energy above the lowest structure with this stoichiometry   1.5 kJ per mole of atoms



TlSnAu3Se4 | PBE-GGA | optimized geometry Values from VASP.

Cell and atoms, written as Quantum ESPRESSO input:
```
&SYSTEM
  ibrav = 0, nat = 9, ntyp = 4
/
ATOMIC_SPECIES
Au 196.97 Au.upf
Se 78.96 Se.upf
Sn 118.71 Sn.upf
Tl 204.38 Tl.upf
CELL_PARAMETERS angstrom
-2.1369 -3.5680 4.8259
5.9768 -0.7994 2.0556
-0.5457 5.2169 3.6155
ATOMIC_POSITIONS angstrom
Au 1.9199 -2.1837 3.4407
Au -1.3413 0.8245 4.2207
Au 2.7155 2.2088 2.8356
Se 0.8342 0.2151 2.6582
Se 2.7293 -1.9403 6.0544
Se -0.4898 1.0289 6.8243
Se 3.5146 2.3954 5.4571
Sn 1.6470 0.4248 5.2485
Tl 0.0000 0.0000 0.0000
```

Values from the calculation:
Space group   P-43m
Energy   -3.346 eV/atom



YSnAuSe3 | PBE-GGA | optimized geometry Values from VASP.

Cell and atoms, written as Quantum ESPRESSO input:
```
&SYSTEM
  ibrav = 0, nat = 12, ntyp = 4
/
ATOMIC_SPECIES
Au 196.97 Au.upf
Se 78.96 Se.upf
Sn 118.71 Sn.upf
Y 88.91 Y.upf
CELL_PARAMETERS angstrom
9.1558 -2.0159 0.0000
9.1558 2.0159 0.0000
-1.7822 0.0000 8.2721
ATOMIC_POSITIONS angstrom
Au 9.6331 0.0000 1.8119
Au 6.8964 0.0000 6.4601
Se 0.0000 0.0000 0.0000
Se 5.7144 0.0000 1.2072
Se 12.0242 0.0000 2.8457
Se 8.2647 0.0000 4.1360
Se 4.5053 0.0000 5.4263
Se 10.8151 0.0000 7.0649
Sn 15.2214 0.0000 3.4858
Sn 1.3081 0.0000 4.7862
Y 2.8285 0.0000 0.7697
Y 13.7010 0.0000 7.5024
```

Values from the calculation:
Space group   C2/m
Energy above the lowest structure with this stoichiometry   7.8 kJ per mole of atoms



YSnAuSe3 | PBE-GGA | optimized geometry Values from VASP.

Cell and atoms, written as Quantum ESPRESSO input:
```
&SYSTEM
  ibrav = 0, nat = 24, ntyp = 4
/
ATOMIC_SPECIES
Au 196.97 Au.upf
Se 78.96 Se.upf
Sn 118.71 Sn.upf
Y 88.91 Y.upf
CELL_PARAMETERS angstrom
12.2215 0.0000 0.0000
0.0000 4.1901 0.0000
0.0000 0.0000 12.7332
ATOMIC_POSITIONS angstrom
Au 8.5851 1.0475 1.3085
Au 2.4743 1.0475 5.0581
Au 9.7472 3.1426 7.6751
Au 3.6364 3.1426 11.4248
Se 11.0003 1.0475 0.6759
Se 6.3114 1.0475 2.2916
Se 3.0740 3.1426 2.5537
Se 9.1848 3.1426 3.8129
Se 0.2007 1.0475 4.0750
Se 4.8895 1.0475 5.6907
Se 7.3320 3.1426 7.0425
Se 12.0209 3.1426 8.6582
Se 3.0368 1.0475 8.9203
Se 9.1475 1.0475 10.1795
Se 5.9101 3.1426 10.4416
Se 1.2212 3.1426 12.0573
Sn 3.9172 1.0475 0.8220
Sn 10.0279 1.0475 5.5446
Sn 2.1936 3.1426 7.1886
Sn 8.3043 3.1426 11.9113
Y 0.2189 3.1426 2.0866
Y 6.3297 3.1426 4.2800
Y 5.8918 1.0475 8.4532
Y 12.0026 1.0475 10.6466
```

Values from the calculation:
Space group   Pnma
Energy above the lowest structure with this stoichiometry   3.6 kJ per mole of atoms